## Nb2TlB (GGA-PBEsol)

Data for a relaxed structure of Nb2TlB.

Summary:
volume = 64 Å³ per cell
E = -7.05 eV/atom
space group = Fm-3m (225)

a b c (Å): 4.4945 4.4945 4.4945
angles (deg): 60.00 60.00 60.00
Element x y z (fractional)
B  0.0000  0.0000  0.0000
Nb  0.7500  0.7500  0.7500
Nb  0.2500  0.2500  0.2500
Tl  0.5000  0.5000  0.5000